This record from Alexandria describes an optimized crystal structure of Tb2Sm6Mg. The functional is GGA-PBE.

CIF file:
```
data_Tb2Sm6Mg
_chemical_formula_sum 'Tb4 Sm12 Mg2'
_space_group_name_H-M_alt 'P 1'
_space_group_IT_number 1
_cell_length_a 6.0716
_cell_length_b 11.5536
_cell_length_c 11.5534
_cell_angle_alpha 48.34
_cell_angle_beta 105.26
_cell_angle_gamma 105.26
loop_
_space_group_symop_operation_xyz
'x,y,z'
loop_
_atom_site_label
_atom_site_fract_x
_atom_site_fract_y
_atom_site_fract_z
Mg1 0.2500 0.2490 0.7510
Mg2 0.7500 0.7510 0.2490
Sm1 0.2307 0.6533 0.5037
Sm2 0.4185 0.4181 0.9192
Sm3 0.4228 0.0027 0.1550
Sm4 0.9228 0.1550 0.0027
Sm5 0.0772 0.8450 0.9973
Sm6 0.2693 0.4963 0.3468
Sm7 0.9185 0.9192 0.4181
Sm8 0.5815 0.5819 0.0808
Sm9 0.0815 0.0808 0.5819
Sm10 0.5772 0.9973 0.8450
Sm11 0.7693 0.3467 0.4963
Sm12 0.7307 0.5037 0.6532
Tb1 0.4523 0.1701 0.3306
Tb2 0.0477 0.6694 0.8299
Tb3 0.5477 0.8299 0.6694
Tb4 0.9523 0.3306 0.1701
```

- Space group: C2/c, No. 15
- Energy above the most stable polymorph in this dataset: 0.44 eV/f.u.
- ΔH_f (0 K): 0.069 eV/atom

This record from Alexandria describes an optimized crystal structure of LaNd4Dy15. The functional is GGA-PBE.

CIF file:
```
data_LaNd4Dy15
_chemical_formula_sum 'La1 Nd4 Dy15'
_space_group_name_H-M_alt 'P 1'
_space_group_IT_number 1
_cell_length_a 5.0748
_cell_length_b 5.0748
_cell_length_c 25.2231
_cell_angle_alpha 90.00
_cell_angle_beta 90.00
_cell_angle_gamma 90.00
loop_
_space_group_symop_operation_xyz
'x,y,z'
loop_
_atom_site_label
_atom_site_fract_x
_atom_site_fract_y
_atom_site_fract_z
Dy1 0.5000 0.0000 0.1011
Dy2 0.5000 0.0000 0.8989
Dy3 0.5000 0.0000 0.5000
Dy4 0.0000 0.5000 0.1011
Dy5 0.0000 0.5000 0.6996
Dy6 0.0000 0.5000 0.8989
Dy7 0.5000 0.5000 0.2008
Dy8 0.5000 0.5000 0.5999
Dy9 0.0000 0.5000 0.3004
Dy10 0.5000 0.5000 0.4001
Dy11 0.5000 0.0000 0.6996
Dy12 0.5000 0.5000 0.0000
Dy13 0.0000 0.5000 0.5000
Dy14 0.5000 0.5000 0.7992
Dy15 0.5000 0.0000 0.3004
La1 0.0000 0.0000 0.0000
Nd1 0.0000 0.0000 0.7998
Nd2 0.0000 0.0000 0.4002
Nd3 0.0000 0.0000 0.2002
Nd4 0.0000 0.0000 0.5998
```

- Space group: P4/mmm, No. 123
- ΔH_f (0 K): 0.021 eV/atom

This record from Alexandria describes an optimized crystal structure of Sr2IrIN. The functional is GGA-PBE.

CIF file:
```
data_Sr2IrIN
_chemical_formula_sum 'Sr2 Ir1 I1 N1'
_space_group_name_H-M_alt 'P 1'
_space_group_IT_number 1
_cell_length_a 6.1256
_cell_length_b 4.8513
_cell_length_c 6.1256
_cell_angle_alpha 90.00
_cell_angle_beta 90.00
_cell_angle_gamma 90.00
loop_
_space_group_symop_operation_xyz
'x,y,z'
loop_
_atom_site_label
_atom_site_fract_x
_atom_site_fract_y
_atom_site_fract_z
Ir1 0.0000 0.5000 0.0000
Sr1 0.5000 0.0000 0.0000
Sr2 0.0000 0.0000 0.5000
N1 0.5000 0.5000 0.5000
I1 0.0000 0.0000 0.0000
```

- Space group: P4/mmm, No. 123
- E_form (uncorrected): 1035 meV/atom
- Energy above the most stable polymorph in this dataset: 9.20 eV/f.u.

This record from Alexandria describes an optimized crystal structure of Al2TeAs. The functional is GGA-PBE.

CIF file:
```
data_Al2TeAs
_chemical_formula_sum 'Al2 Te1 As1'
_space_group_name_H-M_alt 'P 1'
_space_group_IT_number 1
_cell_length_a 4.8884
_cell_length_b 4.8884
_cell_length_c 3.4702
_cell_angle_alpha 90.00
_cell_angle_beta 90.00
_cell_angle_gamma 90.00
loop_
_space_group_symop_operation_xyz
'x,y,z'
loop_
_atom_site_label
_atom_site_fract_x
_atom_site_fract_y
_atom_site_fract_z
Te1 0.0000 0.5000 0.5000
As1 0.5000 0.0000 0.5000
Al1 0.5000 0.5000 0.0000
Al2 0.0000 0.0000 0.0000
```

- Space group: P4/mmm, No. 123
- E_form (uncorrected): 205 meV/atom
- Energy above the most stable polymorph in this dataset: 1.82 eV/f.u.

This record from Alexandria describes an optimized crystal structure of La5Dy3Sb8. The functional is GGA-PBE.

CIF file:
```
data_La5Dy3Sb8
_chemical_formula_sum 'La5 Dy3 Sb8'
_space_group_name_H-M_alt 'P 1'
_space_group_IT_number 1
_cell_length_a 9.0792
_cell_length_b 9.0792
_cell_length_c 9.0692
_cell_angle_alpha 59.96
_cell_angle_beta 59.96
_cell_angle_gamma 60.00
loop_
_space_group_symop_operation_xyz
'x,y,z'
loop_
_atom_site_label
_atom_site_fract_x
_atom_site_fract_y
_atom_site_fract_z
Dy1 0.0000 0.0000 0.5000
Dy2 0.0000 0.5000 0.5000
Dy3 0.5000 0.0000 0.5000
Sb1 0.2500 0.2500 0.7410
Sb2 0.2456 0.2456 0.2633
Sb3 0.7500 0.2410 0.2590
Sb4 0.7590 0.2500 0.7410
Sb5 0.7500 0.7500 0.2590
Sb6 0.2500 0.7590 0.7410
Sb7 0.7544 0.7544 0.7367
Sb8 0.2410 0.7500 0.2590
La1 0.0000 0.0000 0.0000
La2 0.5000 0.5000 0.5000
La3 0.0000 0.5000 0.0000
La4 0.5000 0.0000 0.0000
La5 0.5000 0.5000 0.0000
```

- Space group: R-3m, No. 166
- E_form (uncorrected): -1213 meV/atom

This record from Alexandria describes an optimized crystal structure of AsPbSe2S. The functional is GGA-PBE.

CIF file:
```
data_AsPbSe2S
_chemical_formula_sum 'As1 Pb1 Se2 S1'
_space_group_name_H-M_alt 'P 1'
_space_group_IT_number 1
_cell_length_a 5.6007
_cell_length_b 5.6007
_cell_length_c 5.6320
_cell_angle_alpha 90.00
_cell_angle_beta 90.00
_cell_angle_gamma 90.00
loop_
_space_group_symop_operation_xyz
'x,y,z'
loop_
_atom_site_label
_atom_site_fract_x
_atom_site_fract_y
_atom_site_fract_z
Pb1 0.0000 0.0000 0.0000
Se1 0.0000 0.5000 0.0000
Se2 0.5000 0.0000 0.0000
As1 0.0000 0.0000 0.5000
S1 0.5000 0.5000 0.5000
```

- Space group: P4/mmm, No. 123
- E_form (uncorrected): 1172 meV/atom
- Energy above the most stable polymorph in this dataset: 3.57 eV/f.u.

This record from Alexandria describes an optimized crystal structure of TbEuTm. The functional is GGA-PBE.

CIF file:
```
data_TbEuTm
_chemical_formula_sum 'Tb1 Eu1 Tm1'
_space_group_name_H-M_alt 'P 1'
_space_group_IT_number 1
_cell_length_a 3.6278
_cell_length_b 3.6278
_cell_length_c 8.1027
_cell_angle_alpha 102.94
_cell_angle_beta 102.94
_cell_angle_gamma 90.00
loop_
_space_group_symop_operation_xyz
'x,y,z'
loop_
_atom_site_label
_atom_site_fract_x
_atom_site_fract_y
_atom_site_fract_z
Tb1 0.3245 0.3245 0.6490
Tm1 0.6748 0.6748 0.3495
Eu1 0.0008 0.0008 0.0015
```

- Space group: I4mm, No. 107
- ΔH_f (0 K): 0.064 eV/atom

This record from Alexandria describes an optimized crystal structure of AcNdGe4. The functional is GGA-PBE.

CIF file:
```
data_AcNdGe4
_chemical_formula_sum 'Ac1 Nd1 Ge4'
_space_group_name_H-M_alt 'P 1'
_space_group_IT_number 1
_cell_length_a 5.8505
_cell_length_b 5.8505
_cell_length_c 5.8505
_cell_angle_alpha 60.00
_cell_angle_beta 60.00
_cell_angle_gamma 60.00
loop_
_space_group_symop_operation_xyz
'x,y,z'
loop_
_atom_site_label
_atom_site_fract_x
_atom_site_fract_y
_atom_site_fract_z
Ac1 0.0000 0.0000 0.0000
Ge1 0.6197 0.6197 0.6197
Ge2 0.1408 0.6197 0.6197
Ge3 0.6197 0.6197 0.1408
Ge4 0.6197 0.1408 0.6197
Nd1 0.2500 0.2500 0.2500
```

- Space group: F-43m, No. 216
- Energy above the most stable polymorph in this dataset: 1.18 eV/f.u.
- ΔH_f (0 K): -0.363 eV/atom

This record from Alexandria describes an optimized crystal structure of POsRuN. The functional is GGA-PBE.

CIF file:
```
data_POsRuN
_chemical_formula_sum 'P2 Os2 Ru2 N2'
_space_group_name_H-M_alt 'P 1'
_space_group_IT_number 1
_cell_length_a 3.0554
_cell_length_b 2.9912
_cell_length_c 12.1453
_cell_angle_alpha 90.00
_cell_angle_beta 90.00
_cell_angle_gamma 90.00
loop_
_space_group_symop_operation_xyz
'x,y,z'
loop_
_atom_site_label
_atom_site_fract_x
_atom_site_fract_y
_atom_site_fract_z
P1 0.5000 0.0000 0.0600
P2 0.0000 0.5000 0.5600
Os1 0.5000 0.0000 0.4754
Os2 0.0000 0.5000 0.9754
N1 0.0000 0.5000 0.8158
N2 0.5000 0.0000 0.3158
Ru1 0.5000 0.5000 0.7211
Ru2 0.0000 0.0000 0.2211
```

- Space group: Imm2, No. 44
- E_form (uncorrected): 239 meV/atom
- Energy above the most stable polymorph in this dataset: 0.76 eV/f.u.

This record from Alexandria describes an optimized crystal structure of Rb3Tl4Cd4. The functional is GGA-PBE.

CIF file:
```
data_Rb3Tl4Cd4
_chemical_formula_sum 'Rb3 Tl4 Cd4'
_space_group_name_H-M_alt 'P 1'
_space_group_IT_number 1
_cell_length_a 5.3272
_cell_length_b 8.4428
_cell_length_c 10.0255
_cell_angle_alpha 114.90
_cell_angle_beta 105.41
_cell_angle_gamma 90.00
loop_
_space_group_symop_operation_xyz
'x,y,z'
loop_
_atom_site_label
_atom_site_fract_x
_atom_site_fract_y
_atom_site_fract_z
Cd1 0.7820 0.2820 0.5641
Cd2 0.2180 0.7180 0.4359
Cd3 0.5000 0.1796 0.0000
Cd4 0.5000 0.8204 0.0000
Rb1 0.1297 0.1297 0.2594
Rb2 0.0000 0.5000 0.0000
Rb3 0.8703 0.8703 0.7406
Tl1 0.6708 0.8646 0.3416
Tl2 0.3292 0.5231 0.6584
Tl3 0.3292 0.1354 0.6584
Tl4 0.6708 0.4769 0.3416
```

- Space group: Immm, No. 71
- ΔH_f (0 K): -0.047 eV/atom

no.,uncorrected energy (eV for the cell shown)
1,-77.09
2,-92.62
3,-16.92
4,-14.45
5,-90.83
6,-13.59
7,-19.18
8,-29.53
9,-66.57
10,-16.55